Version i
Au2NCl: optimized geometry, PBE.

Unit cell a=4.547 b=4.547 c=4.547 alpha=60.00 beta=60.00 gamma=60.00
Element x y z (fractional)
1 Cl 0.500 0.500 0.500
2 Au 0.250 0.250 0.250
3 Au 0.750 0.750 0.750
4 N 0.000 0.000 0.000

Results
Magnetic moment ... 2.05 Bohr magnetons per cell
Space group ... Fm-3m (225)
Crystal system ... cubic

=====

Version ii
Au2NCl: optimized geometry, PBE.

Unit cell a=5.278 b=5.278 c=7.092 alpha=68.15 beta=68.15 gamma=90.00
Element x y z (fractional)
1 Au 0.453 0.125 0.250
2 Au 0.875 0.703 0.750
3 Au 0.375 0.547 0.750
4 Au 0.297 0.625 0.250
5 Cl 0.000 0.000 0.000
6 Cl 0.750 0.250 0.500
7 N 0.250 0.750 0.500
8 N 0.500 0.500 0.000

Results
Magnetic moment ... 0.00 Bohr magnetons per cell
Space group ... I-42d (122)
Crystal system ... tetragonal

=====

version ii wins, 746 meV per atom ahead of the next structure.

=====

Version i
PdAu2N4Cl8: optimized geometry, PBE.

Unit cell a=7.184 b=9.054 c=9.167 alpha=114.04 beta=103.59 gamma=112.75
Element x y z (fractional)
1 N 0.753 0.252 0.109
2 N 0.247 0.748 0.891
3 N 0.385 0.653 0.147
4 N 0.615 0.347 0.853
5 Cl 0.789 0.680 0.451
6 Cl 0.723 0.854 0.982
7 Cl 0.029 0.362 0.213
8 Cl 0.470 0.118 0.376
9 Cl 0.211 0.320 0.549
10 Cl 0.277 0.146 0.018
11 Cl 0.530 0.882 0.624
12 Cl 0.971 0.638 0.787
13 Pd 0.500 0.000 0.000
14 Au 0.247 0.227 0.289
15 Au 0.753 0.773 0.711

Results
Magnetic moment ... 5.94 Bohr magnetons per cell
Space group ... P-1 (2)
Crystal system ... triclinic

=====

Version ii
PdAu2N4Cl8: optimized geometry, PBE.

Unit cell a=7.083 b=7.964 c=9.313 alpha=119.12 beta=91.16 gamma=107.86
Element x y z (fractional)
1 Au 0.017 0.521 0.262
2 Au 0.983 0.479 0.738
3 Cl 0.730 0.517 0.606
4 Cl 0.270 0.483 0.394
5 Cl 0.842 0.164 0.156
6 Cl 0.233 0.442 0.870
7 Cl 0.791 0.138 0.624
8 Cl 0.209 0.862 0.376
9 Cl 0.767 0.558 0.130
10 Cl 0.158 0.836 0.844
11 N 0.583 0.752 0.847
12 N 0.420 0.891 0.160
13 N 0.417 0.248 0.153
14 N 0.580 0.109 0.840
15 Pd 0.500 0.000 0.000

Results
Magnetic moment ... 10.00 Bohr magnetons per cell
Space group ... P-1 (2)
Crystal system ... triclinic

=====

version i wins, 95 meV per atom ahead of the next structure.

=====

Version i
AuSN2Cl: optimized geometry, PBE.

Unit cell a=3.961 b=3.961 c=6.196 alpha=90.00 beta=90.00 gamma=90.00
Element x y z (fractional)
1 Cl 0.500 0.500 0.500
2 N 0.000 0.500 0.000
3 N 0.500 0.000 0.000
4 S 0.000 0.000 0.500
5 Au 0.000 0.000 0.000

Results
Magnetic moment ... 3.98 Bohr magnetons per cell
Space group ... P4/mmm (123)
Crystal system ... tetragonal

=====

Version ii
AuSN2Cl: optimized geometry, PBE.

Unit cell a=3.561 b=3.561 c=7.788 alpha=90.00 beta=90.00 gamma=90.00
Element x y z (fractional)
1 N 0.500 0.000 0.000
2 N 0.000 0.500 0.000
3 Cl 0.000 0.000 0.000
4 Au 0.500 0.500 0.500
5 S 0.000 0.000 0.500

Results
Magnetic moment ... 0.00 Bohr magnetons per cell
Space group ... P4/mmm (123)
Crystal system ... tetragonal

=====

version i wins, 291 meV per atom ahead of the next structure.

=====

Version i
AuS2NCl: optimized geometry, PBE.

Unit cell a=5.197 b=5.197 c=3.791 alpha=90.00 beta=90.00 gamma=90.00
Element x y z (fractional)
1 S 0.000 0.500 0.000
2 S 0.500 0.000 0.000
3 Au 0.000 0.000 0.000
4 Cl 0.500 0.500 0.500
5 N 0.000 0.000 0.500

Results
Magnetic moment ... 2.80 Bohr magnetons per cell
Space group ... P4/mmm (123)
Crystal system ... tetragonal

=====

Version ii
AuS2NCl: optimized geometry, PBE.

Unit cell a=4.902 b=4.902 c=5.221 alpha=90.00 beta=90.00 gamma=90.00
Element x y z (fractional)
1 S 0.500 0.000 0.000
2 S 0.000 0.500 0.000
3 Cl 0.000 0.000 0.500
4 Au 0.000 0.000 0.000
5 N 0.500 0.500 0.500

Results
Magnetic moment ... 5.38 Bohr magnetons per cell
Space group ... P4/mmm (123)
Crystal system ... tetragonal

=====

Version iii
AuS2NCl: optimized geometry, PBE.

Unit cell a=3.813 b=3.813 c=7.520 alpha=90.00 beta=90.00 gamma=90.00
Element x y z (fractional)
1 N 0.000 0.000 0.000
2 S 0.000 0.500 0.000
3 S 0.500 0.000 0.000
4 Au 0.500 0.500 0.500
5 Cl 0.000 0.000 0.500

Results
Magnetic moment ... 0.00 Bohr magnetons per cell
Space group ... P4/mmm (123)
Crystal system ... tetragonal

=====

Version iv
AuS2NCl: optimized geometry, PBE.

Unit cell a=5.006 b=5.006 c=3.361 alpha=90.00 beta=90.00 gamma=90.00
Element x y z (fractional)
1 N 0.000 0.000 0.500
2 S 0.500 0.000 0.000
3 S 0.000 0.500 0.000
4 Au 0.500 0.500 0.500
5 Cl 0.000 0.000 0.000

Results
Magnetic moment ... 0.00 Bohr magnetons per cell
Space group ... P4/mmm (123)
Crystal system ... tetragonal

=====

version iii wins, 459 meV per atom ahead of the next structure.

=====

Version i
AuSNCl2: optimized geometry, PBE.

Unit cell a=5.120 b=5.120 c=4.801 alpha=90.00 beta=90.00 gamma=90.00
Element x y z (fractional)
1 Au 0.000 0.000 0.000
2 S 0.000 0.000 0.500
3 Cl 0.000 0.500 0.000
4 Cl 0.500 0.000 0.000
5 N 0.500 0.500 0.500

Results
Magnetic moment ... 4.53 Bohr magnetons per cell
Space group ... P4/mmm (123)
Crystal system ... tetragonal

=====

Version ii
AuSNCl2: optimized geometry, PBE.

Unit cell a=4.246 b=4.246 c=4.654 alpha=90.00 beta=90.00 gamma=90.00
Element x y z (fractional)
1 Cl 0.000 0.500 0.000
2 Cl 0.500 0.000 0.000
3 N 0.000 0.000 0.000
4 Au 0.500 0.500 0.500
5 S 0.000 0.000 0.500

Results
Magnetic moment ... 0.00 Bohr magnetons per cell
Space group ... P4/mmm (123)
Crystal system ... tetragonal

=====

version ii wins, 76 meV per atom ahead of the next structure.

=====

Version i
Na3AuCl6: optimized geometry, PBE.

Unit cell a=7.306 b=7.306 c=7.306 alpha=60.00 beta=60.00 gamma=60.00
Element x y z (fractional)
1 Na 0.750 0.750 0.750
2 Na 0.250 0.250 0.250
3 Na 0.500 0.500 0.500
4 Au 0.000 0.000 0.000
5 Cl 0.242 0.242 0.758
6 Cl 0.758 0.242 0.242
7 Cl 0.242 0.758 0.758
8 Cl 0.758 0.242 0.758
9 Cl 0.242 0.758 0.242
10 Cl 0.758 0.758 0.242

Results
Magnetic moment ... 1.29 Bohr magnetons per cell
Space group ... Fm-3m (225)
Crystal system ... cubic

=====

Version ii
Na3AuCl6: optimized geometry, PBE.

Unit cell a=4.479 b=7.966 c=14.681 alpha=90.00 beta=96.68 gamma=90.00
Element x y z (fractional)
1 Na 0.106 0.710 0.253
2 Na 0.394 0.210 0.247
3 Na 0.000 0.000 0.500
4 Na 0.500 0.500 0.000
5 Na 0.606 0.790 0.753
6 Na 0.894 0.290 0.747
7 Cl 0.127 0.426 0.383
8 Cl 0.410 0.472 0.809
9 Cl 0.373 0.926 0.117
10 Cl 0.479 0.775 0.445
11 Cl 0.521 0.225 0.555
12 Cl 0.873 0.574 0.617
13 Cl 0.090 0.972 0.691
14 Cl 0.021 0.275 0.055
15 Cl 0.979 0.725 0.945
16 Cl 0.590 0.528 0.191
17 Cl 0.910 0.028 0.309
18 Cl 0.627 0.074 0.883
19 Au 0.000 0.000 0.000
20 Au 0.500 0.500 0.500

Results
Magnetic moment ... 0.00 Bohr magnetons per cell
Space group ... P2_1/c (14)
Crystal system ... monoclinic

=====

version ii wins, 214 meV per atom ahead of the next structure.

=====

Version i
NaAuCl2: optimized geometry, PBE.

Unit cell a=4.292 b=4.292 c=14.725 alpha=90.00 beta=90.00 gamma=120.00
Element x y z (fractional)
1 Au 0.333 0.667 0.250
2 Au 0.667 0.333 0.750
3 Na 0.000 0.000 0.500
4 Na 0.000 0.000 0.000
5 Cl 0.333 0.667 0.094
6 Cl 0.667 0.333 0.594
7 Cl 0.333 0.667 0.406
8 Cl 0.667 0.333 0.906

Results
Magnetic moment ... 0.00 Bohr magnetons per cell
Space group ... P6_3/mmc (194)
Crystal system ... hexagonal

=====

Version ii
NaAuCl2: optimized geometry, PBE.

Unit cell a=5.790 b=5.790 c=7.916 alpha=68.55 beta=68.55 gamma=90.00
Element x y z (fractional)
1 Cl 0.875 0.893 0.750
2 Cl 0.375 0.357 0.750
3 Cl 0.107 0.625 0.250
4 Cl 0.643 0.125 0.250
5 Na 0.250 0.750 0.500
6 Na 0.500 0.500 0.000
7 Au 0.750 0.250 0.500
8 Au 0.000 0.000 0.000

Results
Magnetic moment ... 0.00 Bohr magnetons per cell
Space group ... I-42d (122)
Crystal system ... tetragonal

=====

version i wins, 191 meV per atom ahead of the next structure.

=====

Version i
NaAuCl2: optimized geometry, PBE.

Unit cell a=4.891 b=4.891 c=4.891 alpha=60.00 beta=60.00 gamma=60.00
Element x y z (fractional)
1 Na 0.000 0.000 0.000
2 Cl 0.750 0.750 0.750
3 Cl 0.250 0.250 0.250
4 Au 0.500 0.500 0.500

Results
Magnetic moment ... 0.00 Bohr magnetons per cell
Space group ... Fm-3m (225)
Crystal system ... cubic

=====

Version ii
NaAuCl2: optimized geometry, PBE.

Unit cell a=7.776 b=7.776 c=7.776 alpha=32.02 beta=32.02 gamma=32.02
Element x y z (fractional)
1 Cl 0.104 0.104 0.104
2 Cl 0.896 0.896 0.896
3 Na 0.500 0.500 0.500
4 Au 0.000 0.000 0.000

Results
Magnetic moment ... 0.00 Bohr magnetons per cell
Space group ... R-3m (166)
Crystal system ... trigonal

=====

version ii wins, 359 meV per atom ahead of the next structure.